ZrS2F: relaxed, PBE-GGA.

Lattice parameters (Å, degrees): 3.6364 3.6364 21.1840 90.00 90.00 120.00
Positions (direct):
Zr1 0.0000 0.0000 0.0000
Zr2 0.3333 0.6667 0.6667
Zr3 0.6667 0.3333 0.3333
S1 0.0000 0.0000 0.4021
S2 0.0000 0.0000 0.5979
S3 0.3333 0.6667 0.0688
S4 0.3333 0.6667 0.2645
S5 0.6667 0.3333 0.7355
S6 0.6667 0.3333 0.9312
F1 0.0000 0.0000 0.5000
F2 0.3333 0.6667 0.1667
F3 0.6667 0.3333 0.8333

Results
**Mass density**: 3.580 g cm⁻³
**Size of the total moment**: 0.0 μB/f.u.
**Formation energy without anion corrections**: -1267 meV/atom
**D(E_F)**: 5.11 states/eV per cell

***

ZrSF3: relaxed, PBE-GGA.

Lattice parameters (Å, degrees): 4.2408 4.2408 4.2408 90.00 90.00 90.00
Positions (direct):
Zr1 0.0000 0.0000 0.0000
S1 0.5000 0.5000 0.5000
F1 0.0000 0.0000 0.5000
F2 0.0000 0.5000 0.0000
F3 0.5000 0.0000 0.0000

Results
**Mass density**: 3.925 g cm⁻³
**Size of the total moment**: 1.0 μB/f.u.
**ΔE to the lowest computed polymorph**: 0.00 eV/f.u.
**Formation energy without anion corrections**: -2201 meV/atom
**D(E_F)**: 6.34 states/eV per cell

***

ZrS2F4: relaxed, PBE-GGA.

Lattice parameters (Å, degrees): 3.6235 3.6368 9.6140 96.96 99.94 90.05
Positions (direct):
Zr1 0.0000 0.0000 0.0000
S1 0.2115 0.1194 0.4691
S2 0.7885 0.8806 0.5309
F1 0.0573 0.5399 0.1247
F2 0.4426 0.9596 0.8750
F3 0.5574 0.0404 0.1250
F4 0.9427 0.4601 0.8753

Results
**Mass density**: 3.102 g cm⁻³
**Size of the total moment**: 0.0 μB/f.u.
**Formation energy without anion corrections**: -2423 meV/atom
**D(E_F)**: 0.07 states/eV per cell

***

ZrS6F2: relaxed, PBE-GGA.

Lattice parameters (Å, degrees): 3.9811 7.3423 8.4872 109.86 98.43 90.25
Positions (direct):
Zr1 0.0000 0.0000 0.0000
S1 0.0962 0.8561 0.4895
S2 0.1133 0.3134 0.2532
S3 0.2165 0.6781 0.8272
S4 0.2476 0.1645 0.5965
S5 0.4628 0.2193 0.4149
S6 0.8846 0.7743 0.6638
F1 0.5026 0.0916 0.9557
F2 0.8553 0.8652 0.1398

Results
**Mass density**: 2.318 g cm⁻³
**Size of the total moment**: 0.0 μB/f.u.
**Formation energy without anion corrections**: -1059 meV/atom
**D(E_F)**: 0.00 states/eV per cell